1.
# Nb3Te5Au, relaxed, DFT PBE
data_Nb3Te5Au
_cell_length_a 5.8682
_cell_length_b 5.8682
_cell_length_c 8.2907
_cell_angle_alpha 90.00
_cell_angle_beta 90.00
_cell_angle_gamma 120.00
_symmetry_space_group_name_H-M 'P 6/m m m'
_symmetry_Int_Tables_number 191
_symmetry_space_group_name_Hall '-P 6 2'
loop_
_atom_site_label
_atom_site_type_symbol
_atom_site_fract_x
_atom_site_fract_y
_atom_site_fract_z
Nb1 Nb 0.0000 0.5000 0.0000
Te1 Te 0.0000 0.0000 0.0000
Te2 Te 0.3333 0.6667 0.2772
Au1 Au 0.0000 0.0000 0.5000
# Uncorrected energy in eV per cell: -50.2

***

2.
# SrH4Pt, relaxed, DFT PBE
data_SrH4Pt
_cell_length_a 4.178
_cell_length_b 4.890
_cell_length_c 7.009
_cell_angle_alpha 90.00
_cell_angle_beta 90.00
_cell_angle_gamma 90.00
_symmetry_space_group_name_H-M 'I m m m'
_symmetry_Int_Tables_number 71
_symmetry_space_group_name_Hall '-I 2 2'
loop_
_atom_site_label
_atom_site_type_symbol
_atom_site_fract_x
_atom_site_fract_y
_atom_site_fract_z
Sr1 Sr 0.000 0.000 0.000
H1 H 0.000 0.244 0.336
Pt1 Pt 0.000 0.000 0.500
# Uncorrected energy in eV per cell: -48.8

***

3.
# TeWSe2SBr, relaxed, DFT PBE
data_TeWSe2SBr
_cell_length_a 6.471
_cell_length_b 7.579
_cell_length_c 8.290
_cell_angle_alpha 72.33
_cell_angle_beta 67.07
_cell_angle_gamma 78.34
_symmetry_space_group_name_H-M 'P -1'
_symmetry_Int_Tables_number 2
loop_
_symmetry_equiv_pos_as_xyz
'x,y,z'
'-x,-y,-z'
loop_
_atom_site_label
_atom_site_type_symbol
_atom_site_fract_x
_atom_site_fract_y
_atom_site_fract_z
Te1 Te 0.131 0.079 0.200
W1 W 0.282 0.000 0.500
Se1 Se 0.034 0.729 0.561
Se2 Se 0.470 0.729 0.687
S1 S 0.389 0.204 0.626
Br1 Br 0.282 0.740 0.056
# Uncorrected energy in eV per cell: -61.9

***

4.
# Pu3GeAu2, relaxed, DFT PBE
data_Pu3GeAu2
_cell_length_a 3.864
_cell_length_b 3.864
_cell_length_c 9.139
_cell_angle_alpha 90.00
_cell_angle_beta 90.00
_cell_angle_gamma 90.00
_symmetry_space_group_name_H-M 'P 4/m m m'
_symmetry_Int_Tables_number 123
_symmetry_space_group_name_Hall '-P 4 2'
loop_
_atom_site_label
_atom_site_type_symbol
_atom_site_fract_x
_atom_site_fract_y
_atom_site_fract_z
Pu1 Pu 0.000 0.000 0.000
Pu2 Pu 0.000 0.000 0.343
Ge1 Ge 0.500 0.500 0.500
Au1 Au 0.500 0.500 0.170
# Uncorrected energy in eV per cell: -56.6

***

Asked for magnetization across the records above, the calculation gives 0.0; 0.0; 0.0; 16.6 μB/cell in order.